Density functional theory data (meta-GGA SCAN) for CoAsRu2 at its PBEsol-relaxed geometry.

Values from the calculation:
space group = C2/m (12)
energy of formation from the pure elements = 1.0 eV per formula unit
M_tot = 2.760 μB per cell
N(E_F) = 3.45 states/eV/f.u.

The structure in CIF format:
```
data_CoAsRu2
_cell_length_a 4.892
_cell_length_b 4.892
_cell_length_c 2.754
_cell_angle_alpha 104.26
_cell_angle_beta 104.26
_cell_angle_gamma 114.78
_symmetry_space_group_name_H-M 'P 1'
_symmetry_Int_Tables_number 1
_symmetry_space_group_name_Hall 'P 1'
loop_
_atom_site_label
_atom_site_type_symbol
_atom_site_fract_x
_atom_site_fract_y
_atom_site_fract_z
Co1 Co 0.000 0.000 0.000
As1 As 0.500 0.500 0.000
Ru1 Ru 0.000 0.500 0.500
Ru2 Ru 0.500 0.000 0.500
```


Density functional theory data (meta-GGA SCAN) for CoAsRu at its PBEsol-relaxed geometry.

Values from the calculation:
space group = Fmm2 (42)
E above lowest polymorph = 34.4 kJ per mole of atoms
energy of formation from the pure elements = 1.5 eV per formula unit
M_tot = 2.095 μB per cell
N(E_F) = 3.58 states/eV/f.u.

The structure in CIF format:
```
data_CoAsRu
_cell_length_a 6.142
_cell_length_b 5.878
_cell_length_c 2.771
_cell_angle_alpha 82.06
_cell_angle_beta 71.41
_cell_angle_gamma 26.54
_symmetry_space_group_name_H-M 'P 1'
_symmetry_Int_Tables_number 1
_symmetry_space_group_name_Hall 'P 1'
loop_
_atom_site_label
_atom_site_type_symbol
_atom_site_fract_x
_atom_site_fract_y
_atom_site_fract_z
Co1 Co 0.000 0.000 0.000
As1 As 0.650 0.650 0.350
Ru1 Ru 0.320 0.320 0.680
```


Density functional theory data (meta-GGA SCAN) for CoAsRu2 at its PBEsol-relaxed geometry.

Values from the calculation:
space group = Pmm2 (25)
energy of formation from the pure elements = 0.9 eV per formula unit
M_tot = 0.001 μB per cell
N(E_F) = 3.74 states/eV/f.u.

The structure in CIF format:
```
data_CoAsRu2
_cell_length_a 2.743
_cell_length_b 3.591
_cell_length_c 5.213
_cell_angle_alpha 90.00
_cell_angle_beta 90.00
_cell_angle_gamma 90.00
_symmetry_space_group_name_H-M 'P 1'
_symmetry_Int_Tables_number 1
_symmetry_space_group_name_Hall 'P 1'
loop_
_atom_site_label
_atom_site_type_symbol
_atom_site_fract_x
_atom_site_fract_y
_atom_site_fract_z
Co1 Co 0.000 0.000 0.000
As1 As 0.500 0.500 0.765
Ru1 Ru 0.000 0.000 0.488
Ru2 Ru 0.500 0.500 0.234
```


Density functional theory data (meta-GGA SCAN) for Co2AsRu at its PBEsol-relaxed geometry.

Values from the calculation:
space group = P4/mmm (123)
energy of formation from the pure elements = 1.0 eV per formula unit
M_tot = 3.177 μB per cell
N(E_F) = 2.89 states/eV/f.u.

The structure in CIF format:
```
data_Co2AsRu
_cell_length_a 2.704
_cell_length_b 2.704
_cell_length_c 6.548
_cell_angle_alpha 90.00
_cell_angle_beta 90.00
_cell_angle_gamma 90.00
_symmetry_space_group_name_H-M 'P 1'
_symmetry_Int_Tables_number 1
_symmetry_space_group_name_Hall 'P 1'
loop_
_atom_site_label
_atom_site_type_symbol
_atom_site_fract_x
_atom_site_fract_y
_atom_site_fract_z
Co1 Co 0.000 0.000 0.238
Co2 Co 0.000 0.000 0.762
As1 As 0.500 0.500 0.000
Ru1 Ru 0.500 0.500 0.500
```


Density functional theory data (meta-GGA SCAN) for TiCoAs2Ru at its PBEsol-relaxed geometry.

Values from the calculation:
space group = P4/mmm (123)
energy of formation from the pure elements = 3.4 eV per formula unit
M_tot = 0.153 μB per cell
N(E_F) = 4.85 states/eV/f.u.

The structure in CIF format:
```
data_TiCoAs2Ru
_cell_length_a 4.417
_cell_length_b 4.417
_cell_length_c 4.327
_cell_angle_alpha 90.00
_cell_angle_beta 90.00
_cell_angle_gamma 90.00
_symmetry_space_group_name_H-M 'P 1'
_symmetry_Int_Tables_number 1
_symmetry_space_group_name_Hall 'P 1'
loop_
_atom_site_label
_atom_site_type_symbol
_atom_site_fract_x
_atom_site_fract_y
_atom_site_fract_z
Ti1 Ti 0.000 0.000 0.000
Co1 Co 0.500 0.500 0.500
As1 As 0.000 0.500 0.500
As2 As 0.500 0.000 0.500
Ru1 Ru 0.500 0.500 0.000
```


Density functional theory data (meta-GGA SCAN) for CoAsS at its PBEsol-relaxed geometry.

Values from the calculation:
energy relative to the elements, uncorrected = -1.518 eV per formula unit
space group = Pca2_1 (29)
E above lowest polymorph = 1.0 kJ per mole of atoms
M_tot = 0.000 μB per cell

The structure in CIF format:
```
data_CoAsS
_cell_length_a 5.498
_cell_length_b 5.504
_cell_length_c 5.493
_cell_angle_alpha 90.00
_cell_angle_beta 90.00
_cell_angle_gamma 90.00
_symmetry_space_group_name_H-M 'P 1'
_symmetry_Int_Tables_number 1
_symmetry_space_group_name_Hall 'P 1'
loop_
_atom_site_label
_atom_site_type_symbol
_atom_site_fract_x
_atom_site_fract_y
_atom_site_fract_z
Co1 Co 0.008 0.238 0.000
Co2 Co 0.492 0.238 0.500
Co3 Co 0.508 0.762 0.000
Co4 Co 0.992 0.762 0.500
As1 As 0.122 0.629 0.881
As2 As 0.378 0.629 0.381
As3 As 0.622 0.371 0.881
As4 As 0.878 0.371 0.381
S1 S 0.120 0.128 0.623
S2 S 0.380 0.128 0.123
S3 S 0.620 0.872 0.623
S4 S 0.880 0.872 0.123
```


Density functional theory data (meta-GGA SCAN) for CoAsS at its PBEsol-relaxed geometry.

Values from the calculation:
energy relative to the elements, uncorrected = -1.548 eV per formula unit
space group = Pmn2_1 (31)
E above lowest polymorph = 0.0 kJ per mole of atoms
M_tot = 0.000 μB per cell
N(E_F) = 0.02 states/eV/f.u.

The structure in CIF format:
```
data_CoAsS
_cell_length_a 3.438
_cell_length_b 4.531
_cell_length_c 5.493
_cell_angle_alpha 90.00
_cell_angle_beta 90.00
_cell_angle_gamma 90.00
_symmetry_space_group_name_H-M 'P 1'
_symmetry_Int_Tables_number 1
_symmetry_space_group_name_Hall 'P 1'
loop_
_atom_site_label
_atom_site_type_symbol
_atom_site_fract_x
_atom_site_fract_y
_atom_site_fract_z
Co1 Co 0.000 0.235 0.000
Co2 Co 0.500 0.765 0.500
As1 As 0.000 0.461 0.374
As2 As 0.500 0.539 0.874
S1 S 0.000 0.047 0.629
S2 S 0.500 0.953 0.129
```


Density functional theory data (meta-GGA SCAN) for CoAsS at its PBEsol-relaxed geometry.

Values from the calculation:
energy relative to the elements, uncorrected = -1.497 eV per formula unit
space group = P2_13 (198)
E above lowest polymorph = 1.6 kJ per mole of atoms
M_tot = 0.000 μB per cell

The structure in CIF format:
```
data_CoAsS
_cell_length_a 5.496
_cell_length_b 5.496
_cell_length_c 5.496
_cell_angle_alpha 90.00
_cell_angle_beta 90.00
_cell_angle_gamma 90.00
_symmetry_space_group_name_H-M 'P 1'
_symmetry_Int_Tables_number 1
_symmetry_space_group_name_Hall 'P 1'
loop_
_atom_site_label
_atom_site_type_symbol
_atom_site_fract_x
_atom_site_fract_y
_atom_site_fract_z
Co1 Co 0.009 0.009 0.009
Co2 Co 0.491 0.991 0.509
Co3 Co 0.509 0.491 0.991
Co4 Co 0.991 0.509 0.491
As1 As 0.123 0.623 0.877
As2 As 0.377 0.377 0.377
As3 As 0.623 0.877 0.123
As4 As 0.877 0.123 0.623
S1 S 0.120 0.880 0.380
S2 S 0.380 0.120 0.880
S3 S 0.620 0.620 0.620
S4 S 0.880 0.380 0.120
```


Density functional theory data (meta-GGA SCAN) for Co2SbAs at its PBEsol-relaxed geometry.

Values from the calculation:
energy relative to the elements, uncorrected = 1.342 eV per formula unit
space group = P4/mmm (123)
M_tot = 2.514 μB per cell
N(E_F) = 1.36 states/eV/f.u.

The structure in CIF format:
```
data_Co2SbAs
_cell_length_a 4.246
_cell_length_b 4.246
_cell_length_c 3.126
_cell_angle_alpha 90.00
_cell_angle_beta 90.00
_cell_angle_gamma 90.00
_symmetry_space_group_name_H-M 'P 1'
_symmetry_Int_Tables_number 1
_symmetry_space_group_name_Hall 'P 1'
loop_
_atom_site_label
_atom_site_type_symbol
_atom_site_fract_x
_atom_site_fract_y
_atom_site_fract_z
Co1 Co 0.000 0.500 0.000
Co2 Co 0.500 0.000 0.000
Sb1 Sb 0.000 0.000 0.500
As1 As 0.500 0.500 0.500
```


Density functional theory data (meta-GGA SCAN) for Co2SbAs at its PBEsol-relaxed geometry.

Values from the calculation:
energy relative to the elements, uncorrected = 0.547 eV per formula unit
space group = Imm2 (44)
M_tot = 0.003 μB per cell
N(E_F) = 2.48 states/eV/f.u.

The structure in CIF format:
```
data_Co2SbAs
_cell_length_a 6.229
_cell_length_b 6.229
_cell_length_c 6.229
_cell_angle_alpha 152.90
_cell_angle_beta 147.67
_cell_angle_gamma 42.68
_symmetry_space_group_name_H-M 'P 1'
_symmetry_Int_Tables_number 1
_symmetry_space_group_name_Hall 'P 1'
loop_
_atom_site_label
_atom_site_type_symbol
_atom_site_fract_x
_atom_site_fract_y
_atom_site_fract_z
Co1 Co 0.000 0.000 0.000
Co2 Co 0.804 0.304 0.500
Sb1 Sb 0.187 0.687 0.500
As1 As 0.440 0.440 0.000
```


Density functional theory data (meta-GGA SCAN) for CoSb2TeAs at its PBEsol-relaxed geometry.

Values from the calculation:
energy relative to the elements, uncorrected = 2.672 eV per formula unit
space group = P4/mmm (123)
M_tot = 0.000 μB per cell
N(E_F) = 3.56 states/eV/f.u.

The structure in CIF format:
```
data_CoSb2TeAs
_cell_length_a 4.735
_cell_length_b 4.735
_cell_length_c 5.199
_cell_angle_alpha 90.00
_cell_angle_beta 90.00
_cell_angle_gamma 90.00
_symmetry_space_group_name_H-M 'P 1'
_symmetry_Int_Tables_number 1
_symmetry_space_group_name_Hall 'P 1'
loop_
_atom_site_label
_atom_site_type_symbol
_atom_site_fract_x
_atom_site_fract_y
_atom_site_fract_z
Co1 Co 0.000 0.000 0.000
Sb1 Sb 0.000 0.500 0.000
Sb2 Sb 0.500 0.000 0.000
Te1 Te 0.000 0.000 0.500
As1 As 0.500 0.500 0.500
```


Density functional theory data (meta-GGA SCAN) for ScCo2As at its PBEsol-relaxed geometry.

Values from the calculation:
space group = I-42d (122)
energy of formation from the pure elements = 0.4 eV per formula unit
M_tot = 0.010 μB per cell
N(E_F) = 5.03 states/eV/f.u.

The structure in CIF format:
```
data_ScCo2As
_cell_length_a 5.406
_cell_length_b 5.406
_cell_length_c 5.406
_cell_angle_alpha 104.31
_cell_angle_beta 104.31
_cell_angle_gamma 120.39
_symmetry_space_group_name_H-M 'P 1'
_symmetry_Int_Tables_number 1
_symmetry_space_group_name_Hall 'P 1'
loop_
_atom_site_label
_atom_site_type_symbol
_atom_site_fract_x
_atom_site_fract_y
_atom_site_fract_z
Sc1 Sc 0.000 0.000 0.000
Sc2 Sc 0.750 0.250 0.500
Co1 Co 0.176 0.625 0.051
Co2 Co 0.375 0.426 0.551
Co3 Co 0.574 0.125 0.949
Co4 Co 0.875 0.824 0.449
As1 As 0.250 0.750 0.500
As2 As 0.500 0.500 0.000
```


Density functional theory data (meta-GGA SCAN) for ScCo2As at its PBEsol-relaxed geometry.

Values from the calculation:
space group = I-4m2 (119)
energy of formation from the pure elements = -0.9 eV per formula unit
M_tot = 1.282 μB per cell
N(E_F) = 3.20 states/eV/f.u.

The structure in CIF format:
```
data_ScCo2As
_cell_length_a 4.749
_cell_length_b 4.749
_cell_length_c 4.749
_cell_angle_alpha 135.54
_cell_angle_beta 135.54
_cell_angle_gamma 64.69
_symmetry_space_group_name_H-M 'P 1'
_symmetry_Int_Tables_number 1
_symmetry_space_group_name_Hall 'P 1'
loop_
_atom_site_label
_atom_site_type_symbol
_atom_site_fract_x
_atom_site_fract_y
_atom_site_fract_z
Sc1 Sc 0.000 0.000 0.000
Co1 Co 0.250 0.750 0.500
Co2 Co 0.500 0.500 0.000
As1 As 0.750 0.250 0.500
```


Density functional theory data (meta-GGA SCAN) for ScCo2As at its PBEsol-relaxed geometry.

Values from the calculation:
space group = Cm (8)
energy of formation from the pure elements = -0.8 eV per formula unit
M_tot = 0.003 μB per cell
N(E_F) = 3.95 states/eV/f.u.

The structure in CIF format:
```
data_ScCo2As
_cell_length_a 4.546
_cell_length_b 4.546
_cell_length_c 3.980
_cell_angle_alpha 107.14
_cell_angle_beta 107.14
_cell_angle_gamma 42.58
_symmetry_space_group_name_H-M 'P 1'
_symmetry_Int_Tables_number 1
_symmetry_space_group_name_Hall 'P 1'
loop_
_atom_site_label
_atom_site_type_symbol
_atom_site_fract_x
_atom_site_fract_y
_atom_site_fract_z
Sc1 Sc 0.000 0.000 0.000
Co1 Co 0.247 0.247 0.787
Co2 Co 0.481 0.481 0.466
As1 As 0.761 0.761 0.353
```


Density functional theory data (meta-GGA SCAN) for ScCo2As at its PBEsol-relaxed geometry.

Values from the calculation:
space group = C2/m (12)
energy of formation from the pure elements = -0.2 eV per formula unit
M_tot = 2.203 μB per cell
N(E_F) = 1.95 states/eV/f.u.

The structure in CIF format:
```
data_ScCo2As
_cell_length_a 4.879
_cell_length_b 4.879
_cell_length_c 2.860
_cell_angle_alpha 106.06
_cell_angle_beta 106.06
_cell_angle_gamma 113.03
_symmetry_space_group_name_H-M 'P 1'
_symmetry_Int_Tables_number 1
_symmetry_space_group_name_Hall 'P 1'
loop_
_atom_site_label
_atom_site_type_symbol
_atom_site_fract_x
_atom_site_fract_y
_atom_site_fract_z
Sc1 Sc 0.000 0.000 0.000
Co1 Co 0.000 0.500 0.500
Co2 Co 0.500 0.000 0.500
As1 As 0.500 0.500 0.000
```